Computed, not measured: a relaxed Li2ScSi crystal at the PBE-GGA level of DFT.

Cell lengths 2.9359, 2.9359, 29.4150 Å; angles 90.00, 90.00, 120.00 degrees
Last column: nearest neighbours and their distance in Å.
Space group R-3m (No. 166, hexagonal axes)
Inequivalent atoms, fractional coordinates:
Li (0.0000, 0.0000, 0.2393) (multiplicity 6)  3 Si 2.73, 6 Li 2.94
Sc (0.0000, 0.0000, 0.0000) (multiplicity 3)  6 Sc 2.94, 6 Li 3.25
Si (0.0000, 0.0000, 0.5000) (multiplicity 3)  6 Li 2.73, 6 Si 2.94

Uncorrected energy (eV/atom): -3.77
Uncorrected formation energy (eV per atom): 0.125
Crystal system: trigonal